No. 1
PmTm3In2 (PBE-GGA, relaxed); DOS at the Fermi energy = 1.0132 states/eV/atom; calculated formation energy = -244 meV per atom; magnetization = 0.40 μB/f.u.; polymorph energy (0 for the lowest one) = 35 meV per atom
1.0
5.338 0.000 0.000
-2.669 8.693 -0.877
0.000 -4.682 7.886
Tm In Pm
6 4 2
direct
0.940 0.881 0.595
0.385 0.770 0.314
0.307 0.615 0.604
0.615 0.230 0.686
0.693 0.385 0.396
0.060 0.119 0.405
0.226 0.453 0.858
0.520 0.041 0.871
0.774 0.547 0.142
0.480 0.959 0.129
0.868 0.736 0.905
0.132 0.264 0.095



No. 2
Pm3TmIn (PBE-GGA, relaxed); DOS at the Fermi energy = 1.1094 states/eV/atom; calculated formation energy = -189 meV per atom; magnetization = 0.00 μB/f.u.; polymorph energy (0 for the lowest one) = 0 meV per atom
1.0
-4.468 -1.580 1.239
-0.231 -2.600 -4.147
2.930 -10.732 6.567
Pm In Tm
6 2 2
direct
0.378 0.250 0.891
0.573 0.250 0.502
0.878 0.750 0.893
0.270 0.750 0.109
0.771 0.250 0.107
0.075 0.750 0.498
0.671 0.750 0.306
0.977 0.250 0.694
0.476 0.750 0.697
0.173 0.250 0.303



No. 3
Pm3Tm2In (PBE-GGA, relaxed); DOS at the Fermi energy = 1.2549 states/eV/atom; calculated formation energy = -158 meV per atom; magnetization = 0.00 μB/f.u.; polymorph energy (0 for the lowest one) = 0 meV per atom
1.0
4.882 0.000 0.000
0.000 4.703 -1.590
0.000 0.071 7.959
Pm Tm In
3 2 1
direct
0.500 0.170 0.340
0.500 0.500 0.000
0.500 0.830 0.660
0.000 0.337 0.674
0.000 0.663 0.326
0.000 0.000 0.000



No. 4
Pm3TmIn (PBE-GGA, relaxed); DOS at the Fermi energy = 1.1316 states/eV/atom; calculated formation energy = -105 meV per atom; magnetization = 0.00 μB/f.u.; polymorph energy (0 for the lowest one) = 84 meV per atom
1.0
-5.343 -0.677 -0.794
-0.443 -4.677 6.974
-1.305 5.822 3.821
Pm In Tm
6 2 2
direct
0.250 0.439 0.222
0.250 0.250 0.718
0.750 0.939 0.778
0.750 0.750 0.282
0.250 0.061 0.222
0.750 0.561 0.778
0.750 0.250 0.022
0.250 0.750 0.978
0.250 0.750 0.556
0.750 0.250 0.444



No. 5
Pm6Tm12In (PBE-GGA, relaxed); DOS at the Fermi energy = 1.1851 states/eV/atom; calculated formation energy = 71 meV per atom; magnetization = 0.00 μB/f.u.
1.0
-4.339 -4.064 -5.967
6.945 -4.082 -2.462
-1.662 -6.317 5.318
Pm Tm In
6 12 1
direct
0.091 0.693 0.259
0.909 0.307 0.741
0.693 0.259 0.091
0.307 0.741 0.909
0.741 0.909 0.307
0.259 0.091 0.693
0.563 0.224 0.461
0.461 0.563 0.224
0.988 0.807 0.643
0.807 0.643 0.988
0.193 0.357 0.012
0.539 0.437 0.776
0.012 0.193 0.357
0.357 0.012 0.193
0.224 0.461 0.563
0.643 0.988 0.807
0.776 0.539 0.437
0.437 0.776 0.539
0.000 0.000 0.000



No. 6
Pm4TmIn2 (PBE-GGA, relaxed); DOS at the Fermi energy = 1.2329 states/eV/atom; calculated formation energy = 51 meV per atom; magnetization = 0.00 μB/f.u.; polymorph energy (0 for the lowest one) = 47 meV per atom
1.0
5.856 -1.062 -1.418
-1.592 5.735 -1.418
-0.389 -0.426 7.188
Pm In Tm
4 2 1
direct
0.000 0.500 0.000
0.250 0.750 0.500
0.500 0.000 0.000
0.750 0.250 0.500
0.375 0.375 0.752
0.625 0.625 0.248
0.000 0.000 0.000



No. 7
Pm2TmIn2 (PBE-GGA, relaxed); DOS at the Fermi energy = 0.9828 states/eV/atom; calculated formation energy = -374 meV per atom; magnetization = 0.00 μB/f.u.; polymorph energy (0 for the lowest one) = 0 meV per atom
1.0
-0.381 -4.466 0.522
4.332 -0.100 2.308
-5.738 4.045 10.948
In Tm Pm
4 2 4
direct
0.548 0.250 0.097
0.352 0.250 0.702
0.452 0.750 0.903
0.648 0.750 0.298
0.143 0.250 0.287
0.857 0.750 0.713
0.049 0.750 0.099
0.951 0.250 0.901
0.761 0.250 0.521
0.239 0.750 0.479



No. 8
Pm3Tm3In (PBE-GGA, relaxed); DOS at the Fermi energy = 1.4358 states/eV/atom; calculated formation energy = -115 meV per atom; magnetization = 0.00 μB/f.u.; polymorph energy (0 for the lowest one) = 0 meV per atom
1.0
-1.645 3.691 3.818
-0.013 -6.796 6.564
7.821 5.074 -1.536
Pm Tm In
6 6 2
direct
0.250 0.105 0.475
0.250 0.525 0.631
0.750 0.895 0.525
0.750 0.475 0.369
0.250 0.369 0.895
0.750 0.631 0.105
0.750 0.176 0.941
0.250 0.941 0.765
0.250 0.824 0.059
0.750 0.059 0.235
0.250 0.235 0.176
0.750 0.765 0.824
0.750 0.333 0.667
0.250 0.667 0.333



No. 9
Pm6Tm5In (PBE-GGA, relaxed); DOS at the Fermi energy = 1.3498 states/eV/atom; calculated formation energy = -57 meV per atom; magnetization = 0.00 μB/f.u.
1.0
-3.470 -0.873 -3.533
-0.462 -7.333 5.845
-3.015 7.567 4.671
Tm Pm In
5 6 1
direct
0.500 0.500 0.500
0.000 0.664 0.336
0.500 0.833 0.167
0.500 0.167 0.833
0.000 0.336 0.664
0.246 0.079 0.413
0.246 0.413 0.079
0.754 0.587 0.921
0.254 0.754 0.754
0.754 0.921 0.587
0.746 0.246 0.246
0.000 0.000 0.000



No. 10
Pm2Tm6In (PBE-GGA, relaxed); DOS at the Fermi energy = 1.1034 states/eV/atom; calculated formation energy = -19 meV per atom; magnetization = 0.00 μB/f.u.
1.0
-2.023 -0.736 2.709
8.167 -0.910 5.852
-3.490 8.494 -2.504
Pm Tm In
2 6 1
direct
0.848 0.349 0.697
0.152 0.651 0.303
0.823 0.661 0.645
0.500 0.705 0.000
0.823 0.985 0.645
0.177 0.015 0.355
0.500 0.295 0.000
0.177 0.339 0.355
0.000 0.000 0.000



No. 11
Pm4Tm7In (PBE-GGA, relaxed); DOS at the Fermi energy = 1.5957 states/eV/atom; calculated formation energy = 182 meV per atom; magnetization = 0.00 μB/f.u.
1.0
5.789 0.000 0.000
2.894 11.201 -0.047
2.894 0.454 6.044
Pm Tm In
4 7 1
direct
0.377 0.768 0.478
0.623 0.232 0.522
0.172 0.365 0.291
0.828 0.635 0.709
0.904 0.279 0.913
0.096 0.721 0.087
0.201 0.077 0.522
0.799 0.923 0.478
0.368 0.483 0.780
0.632 0.517 0.220
0.500 0.000 0.000
0.000 0.000 0.000



No. 12
Pm3TmIn4 (PBE-GGA, relaxed); DOS at the Fermi energy = 0.5199 states/eV/atom; calculated formation energy = -482 meV per atom; magnetization = 0.00 μB/f.u.
1.0
3.795 0.000 0.000
0.000 3.795 0.000
0.000 0.000 15.443
In Tm Pm
4 1 3
direct
0.000 0.000 0.628
0.000 0.000 0.885
0.000 0.000 0.372
0.000 0.000 0.115
0.500 0.500 0.000
0.500 0.500 0.500
0.500 0.500 0.243
0.500 0.500 0.757